[1]
AcIn6Au4 GGA-PBE relaxed; space group = No. 121; D(E_F) = 3.79 states/eV/f.u.; ΔH_f (0 K) = -0.30 eV/atom
1.0
-3.7848 3.7848 5.1116
3.7848 -3.7848 5.1116
3.7848 3.7848 -5.1116
Ac In Au
1 6 4
Cartesian
0.0000 0.0000 0.0000
3.7848 0.0000 0.0000
1.1588 -1.1588 3.3517
-1.1588 1.1588 3.3517
0.0000 3.7848 0.0000
2.6260 2.6260 1.7599
1.1588 1.1588 6.8715
2.1413 2.1413 -1.0164
1.6435 -1.6435 6.1280
1.6435 1.6435 4.0952
-1.6435 1.6435 6.1280

[2]
AcIn3Au3 GGA-PBE relaxed; relative energy among the computed polymorphs = 0.0 meV per atom; space group = No. 176; D(E_F) = 3.40 states/eV/f.u.; ΔH_f (0 K) = -0.43 eV/atom
1.0
9.0970 0.0000 0.0000
-4.5485 7.8782 0.0000
0.0000 0.0000 4.9389
Ac In Au
2 6 6
Cartesian
0.0000 5.2522 1.2347
4.5485 2.6261 3.7041
-0.8467 2.0125 3.7041
-2.3823 7.6053 3.7041
1.3195 1.7395 1.2347
3.2290 6.1387 3.7041
6.9308 0.2730 1.2347
5.3952 5.8657 1.2347
-2.0991 4.7721 3.7041
1.4653 3.6743 3.7041
3.9146 0.5682 1.2347
0.6339 7.3101 3.7041
3.0832 4.2040 1.2347
6.6476 3.1061 1.2347

[3]
AcInAu5 GGA-PBE relaxed; space group = No. 62; D(E_F) = 3.05 states/eV/f.u.; ΔH_f (0 K) = -0.49 eV/atom
1.0
9.2328 0.0000 0.0000
0.0000 5.8155 0.0000
0.0000 0.0000 11.4976
Ac In Au
4 4 20
Cartesian
2.2579 1.4539 0.6317
2.3586 4.3616 6.3805
6.8743 1.4539 5.1171
6.9750 4.3616 10.8659
1.3730 4.3616 9.7829
3.2434 1.4539 4.0341
5.9894 4.3616 7.4635
7.8598 1.4539 1.7147
0.6257 0.0537 3.4607
0.6257 2.8541 3.4607
0.6977 4.3616 0.9289
0.8414 1.4539 5.9712
1.6284 1.4539 8.8461
2.9880 4.3616 3.0972
3.7751 4.3616 0.2224
3.9187 1.4539 6.6777
3.9907 2.9614 9.2095
3.9907 5.7618 9.2095
5.2421 0.0537 2.2881
5.2421 2.8541 2.2881
5.3142 4.3616 4.8199
5.4578 1.4539 11.2752
6.2448 1.4539 8.4004
7.6044 4.3616 2.6516
8.3915 4.3616 5.5264
8.5351 1.4539 10.5688
8.6071 2.9614 8.0369
8.6071 5.7618 8.0369

[4]
Ac12In5Au2 GGA-PBE relaxed; space group = No. 12; D(E_F) = 23.89 states/eV/f.u.; ΔH_f (0 K) = -0.22 eV/atom
1.0
9.1761 -4.1559 0.0000
9.1761 4.1559 0.0000
-1.7430 0.0000 10.2564
Ac In Au
12 5 2
Cartesian
-0.2342 0.0000 2.9355
4.5463 2.0240 9.0925
5.7507 2.0534 4.3031
10.8584 2.0534 5.9533
12.0629 2.0240 1.1639
8.3599 0.0000 1.7407
8.2492 0.0000 8.5157
4.5463 -2.0240 9.0925
5.7507 -2.0534 4.3031
10.8584 -2.0534 5.9533
12.0629 -2.0240 1.1639
16.8434 0.0000 7.3209
1.6985 0.0000 8.7311
3.1252 0.0000 3.7641
8.3046 0.0000 5.1282
13.4840 0.0000 6.4923
14.9107 0.0000 1.5254
9.1761 2.6588 0.0000
9.1761 -2.6588 0.0000

[5]
Ac2InAu3 GGA-PBE relaxed; space group = No. 69; D(E_F) = 3.91 states/eV/f.u.; ΔH_f (0 K) = -0.74 eV/atom
1.0
0.0000 4.8701 8.5376
3.9617 0.0000 8.5376
3.9617 4.8701 0.0000
Ac In Au
4 2 6
Cartesian
6.0246 4.8701 8.5376
1.9808 2.4350 4.2688
5.9425 7.3051 12.8064
1.8988 4.8701 8.5376
3.9617 4.8701 5.7110
3.9617 4.8701 11.3643
3.9617 4.8701 2.8893
3.9617 2.4611 7.1188
3.9617 2.4611 9.9564
3.9617 7.2791 7.1188
3.9617 7.2791 9.9564
3.9617 4.8701 14.1859

[6]
AcIn12Au4 GGA-PBE relaxed; space group = No. 204; D(E_F) = 7.96 states/eV/f.u.; ΔH_f (0 K) = -0.15 eV/atom
1.0
-4.8916 4.8916 4.8916
4.8916 -4.8916 4.8916
4.8916 4.8916 -4.8916
Ac In Au
1 12 4
Cartesian
0.0000 0.0000 0.0000
3.3956 0.0000 1.5232
6.3876 0.0000 1.5232
4.8916 3.3684 -1.4960
1.5232 3.3956 0.0000
3.3684 -1.4960 4.8916
4.8916 3.3684 1.4960
0.0000 1.5232 3.3956
1.5232 6.3876 0.0000
3.3684 1.4960 4.8916
0.0000 1.5232 6.3876
-1.4960 4.8916 3.3684
1.4960 4.8916 3.3684
2.4458 2.4458 -2.4458
2.4458 -2.4458 2.4458
-2.4458 2.4458 2.4458
2.4458 2.4458 2.4458

[7]
Ac7In2Au2 GGA-PBE relaxed; relative energy among the computed polymorphs = 119.2 meV per atom; space group = No. 65; D(E_F) = 13.44 states/eV/f.u.; ΔH_f (0 K) = -0.30 eV/atom
1.0
4.4400 -6.1469 0.0000
4.4400 6.1469 0.0000
0.0000 0.0000 7.8367
Ac In Au
7 2 2
Cartesian
0.0000 0.0000 0.0000
2.2200 3.0735 2.0897
2.2200 3.0735 5.7470
2.2200 -3.0735 2.0897
2.2200 -3.0735 5.7470
4.4400 0.0000 1.9771
4.4400 0.0000 5.8596
1.4556 0.0000 3.9184
7.4245 0.0000 3.9184
4.4400 2.5964 0.0000
4.4400 -2.5964 0.0000

[8]
AcIn4Au12 GGA-PBE relaxed; space group = No. 204; D(E_F) = 6.98 states/eV/f.u.; ΔH_f (0 K) = -0.04 eV/atom
1.0
-4.7135 4.7135 4.7135
4.7135 -4.7135 4.7135
4.7135 4.7135 -4.7135
Ac In Au
1 4 12
Cartesian
0.0000 0.0000 0.0000
2.3568 2.3568 -2.3568
2.3568 -2.3568 2.3568
-2.3568 2.3568 2.3568
2.3568 2.3568 2.3568
3.3077 0.0000 1.3709
6.1194 0.0000 1.3709
4.7135 3.3426 -1.4059
1.3709 3.3077 0.0000
3.3426 -1.4059 4.7135
0.0000 1.3709 3.3077
4.7135 3.3426 1.4059
1.3709 6.1194 0.0000
3.3426 1.4059 4.7135
0.0000 1.3709 6.1194
-1.4059 4.7135 3.3426
1.4059 4.7135 3.3426

[9]
Ac5InAu2 GGA-PBE relaxed; space group = No. 140; D(E_F) = 9.53 states/eV/f.u.; ΔH_f (0 K) = -0.51 eV/atom
1.0
-4.3974 4.3974 7.2633
4.3974 -4.3974 7.2633
4.3974 4.3974 -7.2633
Ac In Au
10 2 4
Cartesian
0.0000 0.0000 0.0000
5.7753 1.3779 -2.0786
1.3779 3.0195 -2.0786
5.7753 1.3779 2.0786
1.3779 3.0195 2.0786
0.0000 0.0000 7.2633
3.0195 1.3779 5.1846
-1.3779 3.0195 5.1846
3.0195 1.3779 9.3419
-1.3779 3.0195 9.3419
0.0000 0.0000 3.6316
0.0000 0.0000 10.8949
3.2070 1.1904 0.0000
3.2070 -1.1904 7.2633
1.1904 5.5878 0.0000
1.1904 3.2070 7.2633

[10]
Ac3InAu3 GGA-PBE relaxed; relative energy among the computed polymorphs = 0.0 meV per atom; space group = No. 12; D(E_F) = 5.76 states/eV/f.u.; ΔH_f (0 K) = -0.71 eV/atom
1.0
6.1535 -2.2564 0.0000
6.1535 2.2564 0.0000
-5.4645 0.0000 15.1062
Ac In Au
6 2 6
Cartesian
-1.9051 0.0000 5.7519
-3.7736 0.0000 13.9326
1.6037 0.0000 3.4555
5.2388 0.0000 11.6506
10.6160 0.0000 1.1736
8.7475 0.0000 9.3542
0.0148 0.0000 8.9687
6.8277 0.0000 6.1375
2.1178 0.0000 6.8824
-0.4081 0.0000 13.9478
1.7308 0.0000 11.6379
5.1116 0.0000 3.4683
7.2505 0.0000 1.1584
4.7247 0.0000 8.2237

[11]
Ac4InAu GGA-PBE relaxed; relative energy among the computed polymorphs = 0.0 meV per atom; space group = No. 11; D(E_F) = 6.89 states/eV/f.u.; ΔH_f (0 K) = -0.37 eV/atom
1.0
6.1135 0.0000 0.0000
0.0000 7.8616 0.0000
-1.5057 0.0000 9.2064
Ac In Au
8 2 2
Cartesian
0.7581 1.9654 0.4845
0.6555 5.8962 3.3858
0.9401 4.0439 6.7814
0.9401 7.7486 6.7814
3.6677 0.1130 2.4250
3.6677 3.8178 2.4250
3.9523 1.9654 5.8207
3.8497 5.8962 8.7219
0.7979 1.9654 3.8877
3.8099 5.8962 5.3187
2.2060 5.8962 0.4207
2.4018 1.9654 8.7858

[12]
Ac8InAu2 GGA-PBE relaxed; space group = No. 8; D(E_F) = 14.87 states/eV/f.u.; ΔH_f (0 K) = -0.27 eV/atom
1.0
4.8256 -7.4851 0.0000
4.8256 7.4851 0.0000
-1.7277 0.0000 5.8899
Ac In Au
8 1 2
Cartesian
0.0000 0.0000 0.0000
0.7326 1.8463 3.5778
3.4058 3.5850 1.1243
0.7326 -1.8463 3.5778
4.3494 1.8451 4.5624
3.4058 -3.5850 1.1243
4.3494 -1.8451 4.5624
6.8086 0.0000 2.2456
3.4128 0.0000 1.1021
2.5412 4.6128 4.0696
2.5412 -4.6128 4.0696

Which raw total energy belongs to each record? In order, -3.3553; -3.5922; -3.8119; -3.8827; -4.2019; -3.0918; -4.0092; -3.2414; -4.2367; -4.2712; -4.1106; -4.0993 eV/atom.